Entry from the Alexandria database: an optimized crystal structure of Ac6Tb2Pm (PBE).

Unit cell a=7.748 b=9.428 c=10.226 alpha=89.21 beta=78.79 gamma=89.76
Fractional coordinates of all 18 atoms:
Ac (0.025, 0.327, 0.394)
Ac (0.083, 0.997, 0.171)
Ac (0.190, 0.339, 0.727)
Ac (0.360, 0.336, 0.055)
Ac (0.420, 0.002, 0.825)
Ac (0.473, 0.670, 0.608)
Ac (0.527, 0.330, 0.392)
Ac (0.580, 0.998, 0.175)
Ac (0.640, 0.664, 0.945)
Ac (0.810, 0.661, 0.273)
Ac (0.917, 0.003, 0.829)
Ac (0.975, 0.673, 0.606)
Tb (0.250, 0.997, 0.497)
Tb (0.306, 0.665, 0.278)
Tb (0.694, 0.335, 0.722)
Tb (0.750, 0.003, 0.503)
Pm (0.139, 0.669, 0.947)
Pm (0.861, 0.331, 0.053)

## Properties
E_form, eV per atom: 0.0457
Energy, Ry per atom: -0.31237
Fermi-level density of states, states/eV/atom: 1.645